Entry 1:
First-principles (PBE) data for a relaxed PrCd2Pd8 crystal, as listed in Alexandria.

abc: 4.198 6.469 7.621
angles: 104.97 105.99 90.00
Sites, in units of the cell vectors:
Pr 0.500 0.000 0.000
Cd 0.775 0.352 0.550
Cd 0.225 0.648 0.450
Pd 0.407 0.532 0.815
Pd 0.684 0.913 0.367
Pd 0.859 0.808 0.717
Pd 0.957 0.283 0.914
Pd 0.141 0.192 0.283
Pd 0.316 0.087 0.633
Pd 0.593 0.468 0.185
Pd 0.043 0.717 0.086

Results
VASP energy: -52.74 eV/cell
Space group: C2/m
Crystal system: monoclinic
D(E_F): 3.6 states/eV/f.u.

=====

Entry 2:
First-principles (PBE) data for a relaxed PrCd2Pd7 crystal, as listed in Alexandria.

abc: 3.865 6.429 8.977
angles: 110.98 90.00 90.00
Sites, in units of the cell vectors:
Pr 0.000 0.000 0.000
Cd 0.500 0.740 0.480
Cd 0.500 0.260 0.520
Pd 0.000 0.612 0.224
Pd 0.000 0.388 0.776
Pd 0.500 0.678 0.766
Pd 0.500 0.322 0.234
Pd 0.500 0.912 0.234
Pd 0.500 0.088 0.766
Pd 0.500 0.500 0.000

Results
VASP energy: -44.78 eV/cell
Space group: Cmmm
Crystal system: orthorhombic
D(E_F): 10.3 states/eV/f.u.

=====

Entry 3:
First-principles (PBE) data for a relaxed PrCd2Pd crystal, as listed in Alexandria.

abc: 3.505 3.505 7.440
angles: 90.00 90.00 90.00
Sites, in units of the cell vectors:
Pr 0.500 0.500 0.500
Pd 0.500 0.500 0.000
Cd 0.000 0.000 0.804
Cd 0.000 0.000 0.196

Results
VASP energy: -13.20 eV/cell
Space group: P4/mmm
Crystal system: tetragonal
D(E_F): 2.6 states/eV/f.u.

=====

Entry 4:
First-principles (PBE) data for a relaxed Pr2Cd5Pd4 crystal, as listed in Alexandria.

abc: 5.698 5.540 9.586
angles: 81.21 72.71 59.05
Sites, in units of the cell vectors:
Pr 0.867 0.000 0.266
Pr 0.133 0.000 0.734
Cd 0.500 0.000 0.000
Cd 0.000 0.500 0.000
Cd 0.500 0.500 0.000
Cd 0.250 0.500 0.500
Cd 0.750 0.500 0.500
Pd 0.468 0.321 0.744
Pd 0.532 0.679 0.256
Pd 0.211 0.321 0.256
Pd 0.789 0.679 0.744

Results
VASP energy: -39.75 eV/cell
Space group: Fmmm
Crystal system: orthorhombic
D(E_F): 5.3 states/eV/f.u.

=====

Entry 5:
First-principles (PBE) data for a relaxed PrCd3Pd crystal, as listed in Alexandria.

abc: 5.531 5.531 10.084
angles: 105.92 105.92 90.00
Sites, in units of the cell vectors:
Pr 0.557 0.057 0.113
Pr 0.943 0.443 0.887
Cd 0.620 0.873 0.747
Cd 0.127 0.873 0.253
Cd 0.127 0.380 0.253
Cd 0.127 0.873 0.747
Cd 0.292 0.292 0.584
Cd 0.708 0.708 0.416
Pd 0.000 0.000 0.000
Pd 0.250 0.750 0.500

Results
VASP energy: -26.80 eV/cell
Energy above the lowest structure with this stoichiometry: 1.466 eV per formula unit
Space group: I-4m2
Crystal system: tetragonal
D(E_F): 3.2 states/eV/f.u.

=====

Entry 6:
First-principles (PBE) data for a relaxed PrCd6Pd6 crystal, as listed in Alexandria.

abc: 5.585 7.290 7.290
angles: 79.20 67.47 67.47
Sites, in units of the cell vectors:
Pr 0.000 0.000 0.000
Cd 0.347 0.653 0.653
Cd 0.653 0.347 0.347
Cd 0.000 0.341 0.659
Cd 0.000 0.659 0.341
Cd 0.309 0.191 0.191
Cd 0.691 0.809 0.809
Pd 0.000 0.500 0.000
Pd 0.500 0.500 0.000
Pd 0.000 0.000 0.500
Pd 0.500 0.000 0.500
Pd 0.500 0.770 0.230
Pd 0.500 0.230 0.770

Results
VASP energy: -46.92 eV/cell
Space group: Immm
Crystal system: orthorhombic
D(E_F): 5.0 states/eV/f.u.

=====

Entry 7:
First-principles (PBE) data for a relaxed Pr2Cd2Pd15 crystal, as listed in Alexandria.

abc: 7.052 7.052 7.052
angles: 81.65 81.65 81.65
Sites, in units of the cell vectors:
Pr 0.348 0.348 0.348
Pr 0.652 0.652 0.652
Cd 0.099 0.099 0.099
Cd 0.901 0.901 0.901
Pd 0.500 0.000 0.000
Pd 0.000 0.000 0.500
Pd 0.000 0.500 0.000
Pd 0.000 0.693 0.307
Pd 0.693 0.307 0.000
Pd 0.307 0.000 0.693
Pd 0.307 0.693 0.000
Pd 0.693 0.000 0.307
Pd 0.000 0.307 0.693
Pd 0.158 0.652 0.652
Pd 0.652 0.652 0.158
Pd 0.652 0.158 0.652
Pd 0.842 0.348 0.348
Pd 0.348 0.348 0.842
Pd 0.348 0.842 0.348

Results
VASP energy: -96.72 eV/cell
Space group: R-3m
Crystal system: trigonal
D(E_F): 19.7 states/eV/f.u.

=====

Entry 8:
First-principles (PBE) data for a relaxed Pr2CdPd4 crystal, as listed in Alexandria.

abc: 4.976 4.976 8.096
angles: 107.90 107.90 90.00
Sites, in units of the cell vectors:
Pr 0.632 0.632 0.264
Pr 0.368 0.368 0.736
Cd 0.000 0.000 0.000
Pd 0.818 0.818 0.636
Pd 0.182 0.182 0.364
Pd 0.000 0.500 0.000
Pd 0.500 0.000 0.000

Results
VASP energy: -32.26 eV/cell
Space group: I4/mmm
Crystal system: tetragonal
D(E_F): 4.3 states/eV/f.u.

=====

Calculated formation energy for every record listed, in sequence, given in meV per atom: -417, -182, -350, -441, -137, -422, -391, -145.
M_tot for every record listed, in sequence, given in μB/f.u.: 0.00, 0.00, 0.06, 0.00, 0.00, 0.00, 0.00, 0.00.